An optimized crystal structure of ZrCrSi3, computed with PBE.

Cell and atoms, written as CIF:
```
data_ZrCrSi3
_chemical_formula_sum 'Zr1 Cr1 Si3'
_symmetry_space_group_name_H-M 'P m -3 m'
_symmetry_Int_Tables_number 221
_symmetry_space_group_name_Hall '-P 4 2 3'
_cell_length_a 5.034
_cell_length_b 5.034
_cell_length_c 5.034
_cell_angle_alpha 90.00
_cell_angle_beta 90.00
_cell_angle_gamma 90.00
loop_
_atom_site_label
_atom_site_fract_x
_atom_site_fract_y
_atom_site_fract_z
_atom_site_occupancy
Zr1 0.000 0.000 0.000 1
Cr1 0.500 0.500 0.500 1
Si1 0.000 0.000 0.500 1
```

Calculated values
**Raw formation energy**: 1.0856 eV/atom
**Mass density**: 2.961 g/cm3

An optimized crystal structure of In3RePt, computed with PBE.

Cell and atoms, written as CIF:
```
data_In3RePt
_chemical_formula_sum 'In3 Re1 Pt1'
_symmetry_space_group_name_H-M 'P m -3 m'
_symmetry_Int_Tables_number 221
_symmetry_space_group_name_Hall '-P 4 2 3'
_cell_length_a 5.142
_cell_length_b 5.142
_cell_length_c 5.142
_cell_angle_alpha 90.00
_cell_angle_beta 90.00
_cell_angle_gamma 90.00
loop_
_atom_site_label
_atom_site_fract_x
_atom_site_fract_y
_atom_site_fract_z
_atom_site_occupancy
In1 0.000 0.000 0.500 1
Re1 0.000 0.000 0.000 1
Pt1 0.500 0.500 0.500 1
```

Calculated values
**Mass density**: 8.866 g/cm3

| no. | VASP energy (eV per atom) |
| --- | --- |
| 1 | -5.80 |
| 2 | -4.37 |